Here is crystalline EuDyTi2O7 at its relaxed geometry from the Alexandria database. Energies are from GGA-PBE. Values from VASP.

Cell and atoms, written as Quantum ESPRESSO input:
```
&SYSTEM
  ibrav = 0, nat = 22, ntyp = 4
/
ATOMIC_SPECIES
Eu 151.96 Eu.upf
Dy 162.50 Dy.upf
Ti 47.87 Ti.upf
O 16.00 O.upf
ATOMIC_POSITIONS crystal
Eu 0.5000 0.0000 0.0000
Eu 0.5000 0.5000 0.5000
Dy 0.0000 0.0000 0.0000
Dy 0.5000 0.0000 0.5000
Ti 0.0000 0.0000 0.5000
Ti 0.0000 0.5000 0.0000
Ti 0.0000 0.5000 0.5000
Ti 0.5000 0.5000 0.0000
O 0.0741 0.4187 0.2461
O 0.0741 0.8279 0.6553
O 0.0780 0.8280 0.2500
O 0.3274 0.1721 0.7461
O 0.3265 0.5765 0.7500
O 0.3274 0.5813 0.1553
O 0.3694 0.1194 0.2500
O 0.6306 0.8806 0.7500
O 0.6726 0.4187 0.8447
O 0.6735 0.4235 0.2500
O 0.6726 0.8279 0.2539
O 0.9220 0.1720 0.7500
O 0.9259 0.1721 0.3447
O 0.9259 0.5813 0.7539
CELL_PARAMETERS angstrom
-3.6073 3.6336 5.1266
3.6073 -3.6336 5.1266
3.6073 3.6336 -5.1266
```

Properties
Space-group type = Imma
DOS at the Fermi energy = 9.10 states/eV/cell
Final energy = -199.8 eV for the cell shown

=====

Here is crystalline PaInGe2 at its relaxed geometry from the Alexandria database. Energies are from GGA-PBE. Values from VASP.

Cell and atoms, written as Quantum ESPRESSO input:
```
&SYSTEM
  ibrav = 0, nat = 4, ntyp = 3
/
ATOMIC_SPECIES
Pa 231.04 Pa.upf
In 114.82 In.upf
Ge 72.64 Ge.upf
ATOMIC_POSITIONS crystal
Pa 0.0000 0.0000 0.0000
In 0.5000 0.5000 0.5000
Ge 0.3883 0.3883 0.3883
Ge 0.6117 0.6117 0.6117
CELL_PARAMETERS angstrom
2.2549 1.3019 7.6322
-2.2549 1.3019 7.6322
0.0000 -2.6038 7.6322
```

Properties
Space-group type = R-3m
ΔH_f (0 K) = 0.340 eV per atom
DOS at the Fermi energy = 1.80 states/eV/cell
E above lowest polymorph = 699.3 meV/atom

=====

Here is crystalline LiCuSb2I at its relaxed geometry from the Alexandria database. Energies are from GGA-PBE. Values from VASP.

Cell and atoms, written as Quantum ESPRESSO input:
```
&SYSTEM
  ibrav = 0, nat = 5, ntyp = 4
/
ATOMIC_SPECIES
Li 6.94 Li.upf
Cu 63.55 Cu.upf
Sb 121.76 Sb.upf
I 126.90 I.upf
ATOMIC_POSITIONS crystal
Li 0.0000 0.0000 0.0000
Cu 0.5000 0.5000 0.5000
Sb 0.0000 0.5000 0.5000
Sb 0.5000 0.0000 0.5000
I 0.5000 0.5000 0.0000
CELL_PARAMETERS angstrom
4.8434 0.0000 0.0000
0.0000 4.8434 0.0000
0.0000 0.0000 8.4870
```

Properties
Space-group type = P4/mmm
DOS at the Fermi energy = 3.69 states/eV/cell
E above lowest polymorph = 0.0 meV/atom

=====

Here is crystalline DyH2Rh at its relaxed geometry from the Alexandria database. Energies are from GGA-PBE. Values from VASP.

Cell and atoms, written as Quantum ESPRESSO input:
```
&SYSTEM
  ibrav = 0, nat = 4, ntyp = 3
/
ATOMIC_SPECIES
Dy 162.50 Dy.upf
H 1.01 H.upf
Rh 102.91 Rh.upf
ATOMIC_POSITIONS crystal
Dy 0.0000 0.0000 0.0000
H 0.3584 0.3584 0.3584
H 0.6416 0.6416 0.6416
Rh 0.5000 0.5000 0.5000
CELL_PARAMETERS angstrom
1.9498 1.1257 3.9309
-1.9498 1.1257 3.9309
0.0000 -2.2514 3.9309
```

Properties
Space-group type = R-3m
DOS at the Fermi energy = 0.88 states/eV/cell
E above lowest polymorph = 79.9 meV/atom

=====

Here is crystalline CdIn2Sn6 at its relaxed geometry from the Alexandria database. Energies are from GGA-PBE. Values from VASP.

Cell and atoms, written as Quantum ESPRESSO input:
```
&SYSTEM
  ibrav = 0, nat = 9, ntyp = 3
/
ATOMIC_SPECIES
Cd 112.41 Cd.upf
In 114.82 In.upf
Sn 118.71 Sn.upf
ATOMIC_POSITIONS crystal
Cd 0.0000 0.0000 0.0000
In 0.3333 0.6667 0.1369
In 0.6667 0.3333 0.8631
Sn 0.1783 0.3565 0.6428
Sn 0.1783 0.8217 0.6428
Sn 0.3565 0.1783 0.3572
Sn 0.6435 0.8217 0.6428
Sn 0.8217 0.1783 0.3572
Sn 0.8217 0.6435 0.3572
CELL_PARAMETERS angstrom
9.0223 0.0000 0.0000
-4.5112 7.8136 0.0000
0.0000 0.0000 3.8183
```

Properties
Space-group type = P-3m1
ΔH_f (0 K) = 0.101 eV per atom
DOS at the Fermi energy = 2.73 states/eV/cell

=====

Here is crystalline LiHg2Cl at its relaxed geometry from the Alexandria database. Energies are from GGA-PBE. Values from VASP.

Cell and atoms, written as Quantum ESPRESSO input:
```
&SYSTEM
  ibrav = 0, nat = 4, ntyp = 3
/
ATOMIC_SPECIES
Li 6.94 Li.upf
Hg 200.59 Hg.upf
Cl 35.45 Cl.upf
ATOMIC_POSITIONS crystal
Li 0.0000 0.0000 0.0000
Hg 0.0000 0.5000 0.5000
Hg 0.5000 0.0000 0.0000
Cl 0.5000 0.5000 0.5000
CELL_PARAMETERS angstrom
0.0000 2.8565 6.6016
2.8560 0.0000 6.6016
2.8560 2.8565 0.0000
```

Properties
Space-group type = Fmmm
DOS at the Fermi energy = 0.45 states/eV/cell
E above lowest polymorph = 190.7 meV/atom

=====

Here is crystalline CoTcHg2 at its relaxed geometry from the Alexandria database. Energies are from GGA-PBE. Values from VASP.

Cell and atoms, written as Quantum ESPRESSO input:
```
&SYSTEM
  ibrav = 0, nat = 4, ntyp = 3
/
ATOMIC_SPECIES
Co 58.93 Co.upf
Tc 98.00 Tc.upf
Hg 200.59 Hg.upf
ATOMIC_POSITIONS crystal
Co 0.0000 0.0000 0.0000
Tc 0.5000 0.5000 0.5000
Hg 0.2500 0.2500 0.2500
Hg 0.7500 0.7500 0.7500
CELL_PARAMETERS angstrom
0.0000 3.2366 3.2366
3.2366 0.0000 3.2366
3.2366 3.2366 0.0000
```

Properties
Space-group type = Fm-3m
ΔH_f (0 K) = 0.713 eV per atom
DOS at the Fermi energy = 2.82 states/eV/cell
E above lowest polymorph = 379.6 meV/atom

=====

Here is crystalline ZrIn2Sb at its relaxed geometry from the Alexandria database. Energies are from GGA-PBE. Values from VASP.

Cell and atoms, written as Quantum ESPRESSO input:
```
&SYSTEM
  ibrav = 0, nat = 4, ntyp = 3
/
ATOMIC_SPECIES
Zr 91.22 Zr.upf
In 114.82 In.upf
Sb 121.76 Sb.upf
ATOMIC_POSITIONS crystal
Zr 0.0000 0.0000 0.0000
In 0.2576 0.2576 0.7589
In 0.7424 0.7424 0.2411
Sb 0.5000 0.5000 0.5000
CELL_PARAMETERS angstrom
5.7360 -1.6641 0.0000
5.7360 1.6641 0.0000
-0.4040 0.0000 5.0839
```

Properties
Space-group type = C2/m
DOS at the Fermi energy = 2.88 states/eV/cell
Final energy = -18.5 eV for the cell shown

=====

Here is crystalline Ce2PrPdN4 at its relaxed geometry from the Alexandria database. Energies are from GGA-PBE. Values from VASP.

Cell and atoms, written as Quantum ESPRESSO input:
```
&SYSTEM
  ibrav = 0, nat = 16, ntyp = 4
/
ATOMIC_SPECIES
Ce 140.12 Ce.upf
Pr 140.91 Pr.upf
Pd 106.42 Pd.upf
N 14.01 N.upf
ATOMIC_POSITIONS crystal
Ce 0.1293 0.8707 0.5537
Ce 0.1293 0.8707 0.9463
Ce 0.8707 0.1293 0.0537
Ce 0.8707 0.1293 0.4463
Pr 0.3865 0.6135 0.7500
Pr 0.6135 0.3865 0.2500
Pd 0.3519 0.6481 0.2500
Pd 0.6481 0.3519 0.7500
N 0.0419 0.9581 0.7500
N 0.2294 0.7706 0.1109
N 0.2294 0.7706 0.3891
N 0.5000 0.5000 0.0000
N 0.5000 0.5000 0.5000
N 0.7706 0.2294 0.6109
N 0.7706 0.2294 0.8891
N 0.9581 0.0419 0.2500
CELL_PARAMETERS angstrom
1.7536 -5.9377 0.0000
1.7536 5.9377 0.0000
0.0000 0.0000 11.9132
```

Properties
Space-group type = Cmcm
DOS at the Fermi energy = 7.00 states/eV/cell
Final energy = -126.3 eV for the cell shown

=====

Here is crystalline Tb2Pr3Nd7 at its relaxed geometry from the Alexandria database. Energies are from GGA-PBE. Values from VASP.

Cell and atoms, written as Quantum ESPRESSO input:
```
&SYSTEM
  ibrav = 0, nat = 12, ntyp = 3
/
ATOMIC_SPECIES
Tb 158.93 Tb.upf
Pr 140.91 Pr.upf
Nd 144.24 Nd.upf
ATOMIC_POSITIONS crystal
Tb 0.0546 0.0000 0.1703
Tb 0.9454 0.0000 0.8297
Pr 0.4537 0.5000 0.8386
Pr 0.5000 0.0000 0.5000
Pr 0.5463 0.5000 0.1614
Nd 0.0000 0.5000 0.5000
Nd 0.2242 0.0000 0.6690
Nd 0.2554 0.0000 0.9975
Nd 0.2697 0.5000 0.3317
Nd 0.7303 0.5000 0.6683
Nd 0.7446 0.0000 0.0025
Nd 0.7758 0.0000 0.3310
CELL_PARAMETERS angstrom
6.5425 0.0000 0.0000
0.0000 3.6095 0.0000
-1.9289 0.0000 17.8809
```

Properties
Space-group type = P2/m
ΔH_f (0 K) = 0.073 eV per atom
DOS at the Fermi energy = 18.31 states/eV/cell
E above lowest polymorph = 0.0 meV/atom

=====

Here is crystalline Tl3VPt at its relaxed geometry from the Alexandria database. Energies are from GGA-PBE. Values from VASP.

Cell and atoms, written as Quantum ESPRESSO input:
```
&SYSTEM
  ibrav = 0, nat = 5, ntyp = 3
/
ATOMIC_SPECIES
Tl 204.38 Tl.upf
V 50.94 V.upf
Pt 195.08 Pt.upf
ATOMIC_POSITIONS crystal
Tl 0.0000 0.0000 0.5000
Tl 0.0000 0.5000 0.0000
Tl 0.5000 0.0000 0.0000
V 0.0000 0.0000 0.0000
Pt 0.5000 0.5000 0.5000
CELL_PARAMETERS angstrom
5.2990 0.0000 0.0000
0.0000 5.2990 0.0000
0.0000 0.0000 5.2990
```

Properties
Space-group type = Pm-3m
ΔH_f (0 K) = 0.954 eV per atom
DOS at the Fermi energy = 7.55 states/eV/cell
E above lowest polymorph = 274.9 meV/atom

=====

Here is crystalline SmPuSc2 at its relaxed geometry from the Alexandria database. Energies are from GGA-PBE. Values from VASP.

Cell and atoms, written as Quantum ESPRESSO input:
```
&SYSTEM
  ibrav = 0, nat = 4, ntyp = 3
/
ATOMIC_SPECIES
Sm 150.36 Sm.upf
Pu 244.00 Pu.upf
Sc 44.96 Sc.upf
ATOMIC_POSITIONS crystal
Sm 0.0000 0.0000 0.0000
Pu 0.1658 0.1658 0.1658
Sc 0.5795 0.5795 0.5795
Sc 0.7526 0.7526 0.7526
CELL_PARAMETERS angstrom
1.6856 0.9732 10.8953
-1.6856 0.9732 10.8953
0.0000 -1.9464 10.8953
```

Properties
Space-group type = R3m
ΔH_f (0 K) = 0.116 eV per atom
DOS at the Fermi energy = 10.85 states/eV/cell
E above lowest polymorph = 8.9 meV/atom